Density functional theory data (GGA+U) for a relaxed CrCu2O6 crystal.

Results
Crystal system: tetragonal
Distance to the lowest polymorph of the same formula in eV per formula unit: 0.073

Unit cell a=4.470 b=4.470 c=8.858 alpha=90.00 beta=90.00 gamma=90.00
Element x y z (fractional)
Cr: 0.000 0.000 0.000
Cr: 0.500 0.500 0.500
Cu: 0.000 0.000 0.333
Cu: 0.000 0.000 0.667
Cu: 0.500 0.500 0.167
Cu: 0.500 0.500 0.833
O: 0.189 0.189 0.163
O: 0.189 0.189 0.837
O: 0.200 0.200 0.500
O: 0.300 0.700 0.000
O: 0.311 0.689 0.337
O: 0.311 0.689 0.663
O: 0.689 0.311 0.337
O: 0.689 0.311 0.663
O: 0.700 0.300 0.000
O: 0.800 0.800 0.500
O: 0.811 0.811 0.163
O: 0.811 0.811 0.837